[1]
The following is a PBE calculation of a geometry-optimized BaMg4Al2Cd structure, from Alexandria.

Cell: 4.8717 4.8717 30.0345 Å, 90.00 90.00 120.00°
With the nearest neighbours (Å) after each atom.
Space group R-3m (No. 166, hexagonal axes)
Unique sites:
Ba (0.0000, 0.0000, 0.0000) [3 per cell]  8 Mg 3.56-3.93, 6 Al 3.91
Mg (0.0000, 0.0000, 0.1310) [6 per cell]  3 Cd 3.01, 4 Al 3.06-3.36, 3 Mg 3.31
Mg (0.0000, 0.0000, 0.4061) [6 per cell]  1 Cd 2.82, 3 Al 2.86
Al (0.0000, 0.0000, 0.2427) [6 per cell]  6 Mg 2.86-3.06
Cd (0.0000, 0.0000, 0.5000) [3 per cell]  8 Mg 2.82-3.01

Values from the calculation:
Formation enthalpy at 0 K ... -2.4 kJ per mole of atoms
Density of states at the Fermi level ... 0.40 states/eV/atom


[2]
The following is a PBE calculation of a geometry-optimized SrCuSb2 structure, from Alexandria.

Cell: 5.4620 5.4620 17.2189 Å, 90.00 90.00 90.00°
With the nearest neighbours (Å) after each atom.
Space group I-42d (No. 122)
Unique sites:
Sr (0.0000, 0.0000, 0.0000) [4 per cell]  4 Sb 3.31
Cu (0.0000, 0.0000, 0.5000) [4 per cell]  4 Sb 2.62
Sb (0.1124, 0.2500, 0.6250) [8 per cell]  2 Cu 2.62

Values from the calculation:
Formation energy from raw total energies ... -31 kJ/mol of atoms
Density of states at the Fermi level ... 0.25 states/eV/atom